(1)
Here is a relaxed Pm2CuAs4Rh3 crystal from the Alexandria database. Energies are from GGA-PBE.

**Calculated formation energy**: -0.835 eV/atom
**Fermi-level density of states**: 4.58 states/eV/cell

Unit cell a=4.307 b=4.307 c=9.959 alpha=90.00 beta=90.00 gamma=90.00
Positions (direct):
Pm1 0.000 0.500 0.250
Pm2 0.500 0.000 0.750
Cu1 0.000 0.000 0.500
As1 0.000 0.000 0.000
As2 0.000 0.500 0.634
As3 0.500 0.000 0.366
As4 0.500 0.500 0.000
Rh1 0.000 0.500 0.879
Rh2 0.500 0.000 0.121
Rh3 0.500 0.500 0.500


(2)
Here is a relaxed NbNiMo crystal from the Alexandria database. Energies are from GGA-PBE.

**Calculated formation energy**: -0.049 eV/atom
**Fermi-level density of states**: 1.90 states/eV/cell
**Energy relative to the lowest polymorph listed for this composition**: 33 meV/atom

Unit cell a=6.471 b=6.471 c=6.471 alpha=155.97 beta=155.97 gamma=34.24
Positions (direct):
Nb1 0.000 0.000 0.000
Ni1 0.339 0.339 0.000
Mo1 0.692 0.692 0.000


(3)
Here is a relaxed Tb6Pm5Tm2 crystal from the Alexandria database. Energies are from GGA-PBE.

**Calculated formation energy**: 0.094 eV/atom
**Fermi-level density of states**: 31.28 states/eV/cell

Unit cell a=11.647 b=20.549 c=3.595 alpha=90.00 beta=90.00 gamma=90.00
Positions (direct):
Tb1 0.061 0.081 0.000
Tb2 0.082 0.368 0.000
Tb3 0.174 0.639 0.500
Tb4 0.326 0.139 0.500
Tb5 0.418 0.868 0.000
Tb6 0.439 0.581 0.000
Tb7 0.561 0.419 0.000
Tb8 0.582 0.132 0.000
Tb9 0.674 0.861 0.500
Tb10 0.826 0.361 0.500
Tb11 0.918 0.632 0.000
Tb12 0.939 0.919 0.000
Pm1 0.000 0.500 0.500
Pm2 0.085 0.227 0.500
Pm3 0.198 0.948 0.500
Pm4 0.302 0.448 0.500
Pm5 0.415 0.727 0.500
Pm6 0.500 0.000 0.500
Pm7 0.585 0.273 0.500
Pm8 0.698 0.552 0.500
Pm9 0.802 0.052 0.500
Pm10 0.915 0.773 0.500
Tm1 0.170 0.790 0.000
Tm2 0.330 0.290 0.000
Tm3 0.670 0.710 0.000
Tm4 0.830 0.210 0.000


(4)
Here is a relaxed Ho4Cd3Au crystal from the Alexandria database. Energies are from GGA-PBE.

**Calculated formation energy**: -0.460 eV/atom
**Fermi-level density of states**: 5.25 states/eV/cell

Unit cell a=3.683 b=3.683 c=14.807 alpha=90.00 beta=90.00 gamma=90.00
Positions (direct):
Ho1 0.000 0.000 0.115
Ho2 0.000 0.000 0.372
Ho3 0.000 0.000 0.628
Ho4 0.000 0.000 0.885
Cd1 0.500 0.500 0.247
Cd2 0.500 0.500 0.500
Cd3 0.500 0.500 0.753
Au1 0.500 0.500 0.000


(5)
Here is a relaxed NiGeTe4 crystal from the Alexandria database. Energies are from GGA-PBE.

**Raw formation energy**: -0.053 eV/atom
**Fermi-level density of states**: 3.87 states/eV/cell
**Energy relative to the lowest polymorph listed for this composition**: 0 meV/atom

Unit cell a=6.372 b=3.873 c=6.803 alpha=90.00 beta=110.61 gamma=90.00
Positions (direct):
Ni1 0.000 0.000 0.000
Ge1 0.000 0.500 0.500
Te1 0.246 0.500 0.226
Te2 0.265 0.000 0.784
Te3 0.735 0.000 0.216
Te4 0.754 0.500 0.774


(6)
Here is a relaxed Na5Bi5Pb2 crystal from the Alexandria database. Energies are from GGA-PBE.

**Calculated formation energy**: -0.209 eV/atom
**Fermi-level density of states**: 1.65 states/eV/cell
**Energy relative to the lowest polymorph listed for this composition**: 0 meV/atom

Unit cell a=5.869 b=5.869 c=13.743 alpha=95.34 beta=95.34 gamma=55.37
Positions (direct):
Na1 0.000 0.000 0.000
Na2 0.336 0.336 0.476
Na3 0.437 0.437 0.185
Na4 0.563 0.563 0.815
Na5 0.664 0.664 0.524
Bi1 0.000 0.000 0.500
Bi2 0.117 0.117 0.279
Bi3 0.304 0.304 0.955
Bi4 0.696 0.696 0.045
Bi5 0.883 0.883 0.721
Pb1 0.207 0.207 0.719
Pb2 0.793 0.793 0.281


(7)
Here is a relaxed Tb4YHg4 crystal from the Alexandria database. Energies are from GGA-PBE.

**Calculated formation energy**: -0.259 eV/atom
**Fermi-level density of states**: 14.67 states/eV/cell

Unit cell a=9.542 b=9.542 c=5.536 alpha=90.00 beta=90.00 gamma=90.00
Positions (direct):
Tb1 0.098 0.839 0.153
Tb2 0.161 0.598 0.653
Tb3 0.339 0.902 0.653
Tb4 0.402 0.661 0.153
Tb5 0.598 0.339 0.847
Tb6 0.661 0.098 0.347
Tb7 0.839 0.402 0.347
Tb8 0.902 0.161 0.847
Y1 0.250 0.250 0.750
Y2 0.750 0.750 0.250
Hg1 0.047 0.147 0.351
Hg2 0.147 0.453 0.149
Hg3 0.353 0.047 0.149
Hg4 0.453 0.353 0.351
Hg5 0.547 0.647 0.649
Hg6 0.647 0.953 0.851
Hg7 0.853 0.547 0.851
Hg8 0.953 0.853 0.649


(8)
Here is a relaxed K2SiAg crystal from the Alexandria database. Energies are from GGA-PBE.

**Raw formation energy**: 0.099 eV/atom
**Fermi-level density of states**: 3.26 states/eV/cell

Unit cell a=4.470 b=4.470 c=9.278 alpha=103.38 beta=103.38 gamma=59.87
Positions (direct):
K1 0.000 0.000 0.000
K2 0.165 0.165 0.515
Si1 0.416 0.416 0.258
Ag1 0.749 0.749 0.258


(9)
Here is a relaxed TaGaSiOsPb crystal from the Alexandria database. Energies are from GGA-PBE.

**Raw formation energy**: 0.078 eV/atom
**Fermi-level density of states**: 2.30 states/eV/cell
**Energy relative to the lowest polymorph listed for this composition**: 96 meV/atom

Unit cell a=3.138 b=3.862 c=7.915 alpha=90.00 beta=101.31 gamma=90.00
Positions (direct):
Ta1 0.000 0.000 0.000
Ga1 0.301 0.000 0.599
Si1 0.446 0.500 0.891
Os1 0.828 0.500 0.653
Pb1 0.644 0.500 0.275


(10)
Here is a relaxed LiCaSb3 crystal from the Alexandria database. Energies are from GGA-PBE.

**Raw formation energy**: 0.348 eV/atom
**Fermi-level density of states**: 1.99 states/eV/cell
**Energy relative to the lowest polymorph listed for this composition**: 824 meV/atom

Unit cell a=5.754 b=5.754 c=5.754 alpha=90.00 beta=90.00 gamma=90.00
Positions (direct):
Li1 0.000 0.000 0.000
Ca1 0.500 0.500 0.500
Sb1 0.000 0.500 0.500
Sb2 0.500 0.000 0.500
Sb3 0.500 0.500 0.000


(11)
Here is a relaxed V3IBr crystal from the Alexandria database. Energies are from GGA-PBE.

**Raw formation energy**: 1.464 eV/atom
**Fermi-level density of states**: 11.13 states/eV/cell
**Energy relative to the lowest polymorph listed for this composition**: 227 meV/atom

Unit cell a=5.327 b=5.327 c=5.327 alpha=90.00 beta=90.00 gamma=90.00
Positions (direct):
V1 0.000 0.000 0.500
V2 0.000 0.500 0.000
V3 0.500 0.000 0.000
I1 0.000 0.000 0.000
Br1 0.500 0.500 0.500


(12)
Here is a relaxed Ti6BeC4 crystal from the Alexandria database. Energies are from GGA-PBE.

**Calculated formation energy**: -0.672 eV/atom
**Fermi-level density of states**: 9.55 states/eV/cell

Unit cell a=5.343 b=5.343 c=16.051 alpha=90.00 beta=90.00 gamma=146.24
Positions (direct):
Ti1 0.000 0.000 0.000
Ti2 0.000 0.000 0.500
Ti3 0.160 0.840 0.750
Ti4 0.274 0.726 0.079
Ti5 0.274 0.726 0.421
Ti6 0.463 0.537 0.654
Ti7 0.463 0.537 0.846
Ti8 0.537 0.463 0.154
Ti9 0.537 0.463 0.346
Ti10 0.726 0.274 0.579
Ti11 0.726 0.274 0.921
Ti12 0.840 0.160 0.250
Be1 0.156 0.844 0.250
Be2 0.844 0.156 0.750
C1 0.092 0.908 0.624
C2 0.092 0.908 0.876
C3 0.362 0.638 0.541
C4 0.362 0.638 0.959
C5 0.638 0.362 0.041
C6 0.638 0.362 0.459
C7 0.908 0.092 0.124
C8 0.908 0.092 0.376


(13)
Here is a relaxed CsH7N2 crystal from the Alexandria database. Energies are from GGA-PBE.

**Total energy**: -3.9308 eV per atom
**Fermi-level density of states**: 1.95 states/eV/cell

Unit cell a=6.204 b=6.204 c=4.291 alpha=90.00 beta=90.00 gamma=133.19
Positions (direct):
Cs1 0.000 0.000 0.000
H1 0.168 0.501 0.500
H2 0.356 0.644 0.000
H3 0.499 0.832 0.500
H4 0.500 0.500 0.500
H5 0.501 0.168 0.500
H6 0.644 0.356 0.000
H7 0.832 0.499 0.500
N1 0.387 0.613 0.500
N2 0.613 0.387 0.500


(14)
Here is a relaxed SbMoCl2 crystal from the Alexandria database. Energies are from GGA-PBE.

**Raw formation energy**: 0.581 eV/atom
**Fermi-level density of states**: 2.13 states/eV/cell
**Energy relative to the lowest polymorph listed for this composition**: 885 meV/atom

Unit cell a=4.369 b=4.369 c=4.586 alpha=90.00 beta=90.00 gamma=90.00
Positions (direct):
Sb1 0.000 0.000 0.000
Mo1 0.500 0.500 0.000
Cl1 0.000 0.500 0.500
Cl2 0.500 0.000 0.500


(15)
Here is a relaxed Tm2Cu2Ir crystal from the Alexandria database. Energies are from GGA-PBE.

**Calculated formation energy**: -0.382 eV/atom
**Fermi-level density of states**: 2.47 states/eV/cell

Unit cell a=4.515 b=4.515 c=5.448 alpha=110.34 beta=110.34 gamma=65.52
Positions (direct):
Tm1 0.246 0.246 0.223
Tm2 0.754 0.754 0.777
Cu1 0.392 0.392 0.770
Cu2 0.608 0.608 0.230
Ir1 0.000 0.000 0.500


(16)
Here is a relaxed RbYAg2 crystal from the Alexandria database. Energies are from GGA-PBE.

**Calculated formation energy**: -0.085 eV/atom
**Fermi-level density of states**: 2.48 states/eV/cell

Unit cell a=3.814 b=3.814 c=8.474 alpha=90.00 beta=90.00 gamma=90.00
Positions (direct):
Rb1 0.000 0.000 0.000
Y1 0.000 0.000 0.500
Ag1 0.500 0.500 0.323
Ag2 0.500 0.500 0.677


(17)
Here is a relaxed Cs2SiHBr6 crystal from the Alexandria database. Energies are from GGA-PBE.

**Total energy**: -2.9012 eV per atom
**Fermi-level density of states**: 0.00 states/eV/cell

Unit cell a=7.785 b=7.785 c=7.785 alpha=120.17 beta=120.17 gamma=89.71
Positions (direct):
Cs1 0.250 0.750 0.500
Cs2 0.750 0.250 0.500
Si1 0.000 0.000 0.000
H1 0.500 0.500 0.000
Br1 0.221 0.221 0.000
Br2 0.222 0.222 0.445
Br3 0.222 0.778 0.000
Br4 0.778 0.222 0.000
Br5 0.778 0.778 0.555
Br6 0.779 0.779 0.000


(18)
Here is a relaxed HfBiAsS2 crystal from the Alexandria database. Energies are from GGA-PBE.

**Raw formation energy**: -0.358 eV/atom
**Fermi-level density of states**: 0.90 states/eV/cell

Unit cell a=4.831 b=4.831 c=5.462 alpha=90.00 beta=90.00 gamma=90.00
Positions (direct):
Hf1 0.000 0.000 0.000
Bi1 0.500 0.500 0.500
As1 0.000 0.000 0.500
S1 0.000 0.500 0.000
S2 0.500 0.000 0.000


(19)
Here is a relaxed PrAl4Ag4 crystal from the Alexandria database. Energies are from GGA-PBE.

**Calculated formation energy**: -0.165 eV/atom
**Fermi-level density of states**: 8.60 states/eV/cell

Unit cell a=6.256 b=6.256 c=9.067 alpha=90.00 beta=90.00 gamma=90.00
Positions (direct):
Pr1 0.250 0.750 0.250
Pr2 0.750 0.250 0.750
Al1 0.034 0.250 0.055
Al2 0.250 0.034 0.555
Al3 0.250 0.466 0.555
Al4 0.466 0.250 0.055
Al5 0.534 0.750 0.945
Al6 0.750 0.534 0.445
Al7 0.750 0.966 0.445
Al8 0.966 0.750 0.945
Ag1 0.026 0.250 0.347
Ag2 0.250 0.026 0.847
Ag3 0.250 0.474 0.847
Ag4 0.474 0.250 0.347
Ag5 0.526 0.750 0.653
Ag6 0.750 0.526 0.153
Ag7 0.750 0.974 0.153
Ag8 0.974 0.750 0.653


(20)
Here is a relaxed EuAl2 crystal from the Alexandria database. Energies are from GGA-PBE.

**Calculated formation energy**: -0.387 eV/atom
**Fermi-level density of states**: 8.77 states/eV/cell

Unit cell a=5.706 b=5.706 c=5.706 alpha=60.00 beta=60.00 gamma=60.00
Positions (direct):
Eu1 0.125 0.125 0.125
Eu2 0.875 0.875 0.875
Al1 0.000 0.500 0.500
Al2 0.500 0.000 0.500
Al3 0.500 0.500 0.000
Al4 0.500 0.500 0.500


(21)
Here is a relaxed Tb2CuTe4 crystal from the Alexandria database. Energies are from GGA-PBE.

**Raw formation energy**: -0.970 eV/atom
**Fermi-level density of states**: 1.06 states/eV/cell

Unit cell a=7.574 b=6.242 c=8.631 alpha=90.00 beta=106.47 gamma=90.00
Positions (direct):
Tb1 0.220 0.250 0.430
Tb2 0.251 0.250 0.938
Tb3 0.749 0.750 0.062
Tb4 0.780 0.750 0.570
Cu1 0.219 0.750 0.678
Cu2 0.781 0.250 0.322
Te1 0.072 0.750 0.376
Te2 0.078 0.750 0.910
Te3 0.491 0.504 0.253
Te4 0.491 0.996 0.253
Te5 0.509 0.004 0.747
Te6 0.509 0.496 0.747
Te7 0.922 0.250 0.090
Te8 0.928 0.250 0.624


(22)
Here is a relaxed Ta2CuBr crystal from the Alexandria database. Energies are from GGA-PBE.

**Raw formation energy**: 0.838 eV/atom
**Fermi-level density of states**: 3.20 states/eV/cell
**Energy relative to the lowest polymorph listed for this composition**: 571 meV/atom

Unit cell a=3.963 b=3.963 c=4.561 alpha=90.00 beta=90.00 gamma=90.00
Positions (direct):
Ta1 0.000 0.500 0.000
Ta2 0.500 0.000 0.000
Cu1 0.000 0.000 0.500
Br1 0.500 0.500 0.500


(23)
Here is a relaxed AcAlGePt3 crystal from the Alexandria database. Energies are from GGA-PBE.

**Calculated formation energy**: -0.829 eV/atom
**Fermi-level density of states**: 4.32 states/eV/cell

Unit cell a=7.757 b=7.757 c=5.740 alpha=90.00 beta=90.00 gamma=127.89
Positions (direct):
Ac1 0.232 0.768 0.750
Ac2 0.768 0.232 0.250
Al1 0.452 0.548 0.250
Al2 0.548 0.452 0.750
Ge1 0.100 0.900 0.250
Ge2 0.900 0.100 0.750
Pt1 0.217 0.217 0.000
Pt2 0.217 0.217 0.500
Pt3 0.275 0.725 0.250
Pt4 0.725 0.275 0.750
Pt5 0.783 0.783 0.000
Pt6 0.783 0.783 0.500


| no. | total magnetic moment (μB/f.u.) |
| --- | --- |
| 1 | 0.00 |
| 2 | 0.00 |
| 3 | 0.00 |
| 4 | 0.00 |
| 5 | 0.00 |
| 6 | 0.00 |
| 7 | 0.00 |
| 8 | 0.36 |
| 9 | 0.00 |
| 10 | 0.00 |
| 11 | 12.78 |
| 12 | 0.00 |
| 13 | 0.00 |
| 14 | 3.05 |
| 15 | 0.00 |
| 16 | 0.00 |
| 17 | 1.00 |
| 18 | 0.00 |
| 19 | 0.00 |
| 20 | 7.04 |
| 21 | 0.00 |
| 22 | 0.00 |
| 23 | 0.00 |